Compound: K2Hg2Au
Source: Alexandria via LeMat-Bulk
Functional: PBE-GGA
Structure: relaxed

Calculated values
DFT formation energy (eV/atom): -0.23
E above lowest polymorph (meV/atom): 47
Electronic total energy (eV/atom): -1.45

a b c (Å): 7.861 7.861 5.266
angles (deg): 90.00 90.00 90.00
Space group P4/mbm (No. 127)
Symmetry-distinct sites (fractional):
K1 0.177 0.323 0.000
Hg1 0.137 0.637 0.500
Au1 0.000 0.000 0.500

Compound: SmTa2Os2
Source: Alexandria via LeMat-Bulk
Functional: PBE-GGA
Structure: relaxed

Calculated values
DFT formation energy (eV/atom): -0.31
Electronic total energy (eV/atom): -10.48

a b c (Å): 4.389 4.389 10.807
angles (deg): 90.00 90.00 90.00
Space group I4/mmm (No. 139)
Symmetry-distinct sites (fractional):
Sm1 0.000 0.000 0.000
Ta1 0.000 0.500 0.250
Os1 0.000 0.000 0.381

Compound: Li2Pr2NdGa2
Source: Alexandria via LeMat-Bulk
Functional: PBE-GGA
Structure: relaxed

Calculated values
DFT formation energy (eV/atom): -0.29
Electronic total energy (eV/atom): -3.75

a b c (Å): 4.7279 4.7279 26.8658
angles (deg): 90.00 90.00 120.00
Space group R-3m (No. 166, hexagonal axes)
Symmetry-distinct sites (fractional):
Li1 0.0000 0.0000 0.1065
Pr1 0.0000 0.0000 0.3735
Nd1 0.0000 0.0000 0.5000
Ga1 0.0000 0.0000 0.2360

Compound: Ac6Co2Ag
Source: Alexandria via LeMat-Bulk
Functional: PBE-GGA
Structure: relaxed

Calculated values
DFT formation energy (eV/atom): 0.00
Electronic total energy (eV/atom): -4.63

a b c (Å): 13.745 5.625 9.788
angles (deg): 90.00 118.48 90.00
Space group C2/m (No. 12)
Symmetry-distinct sites (fractional):
Ac1 0.018 0.000 0.200
Ac2 0.157 0.500 0.573
Ac3 0.200 0.500 0.096
Co1 0.180 0.000 0.100
Ag1 0.000 0.000 0.500

What is the formula in the third record? Li2Pr2NdGa2

Number 4 is which compound? Ac6Co2Ag

Number 4 is which compound? Ac6Co2Ag

What is the DFT formation energy in the third record? -0.29 eV/atom